! Al2FeCl | Alexandria | PBE | optimized geometry; values from VASP
&SYSTEM
  ibrav = 0, nat = 4, ntyp = 3
/
ATOMIC_SPECIES
Al 26.98 Al.upf
Fe 55.84 Fe.upf
Cl 35.45 Cl.upf
CELL_PARAMETERS angstrom
5.135 -1.438 0.000
5.135 1.438 0.000
-0.629 0.000 4.526
ATOMIC_POSITIONS angstrom
Al 1.981 0.000 1.065
Al 7.661 0.000 3.461
Fe 5.135 0.000 0.000
Cl -0.314 0.000 2.263
! Fermi-level density of states   0.600 states/eV per atom
! Space group   C2/m, No. 12
! Crystal system   monoclinic
! Spin magnetization   2.50 μB/f.u.
! Calculated total energy   -4.2645 eV/atom
! Excess energy over the best structure of this formula in the dataset   412.4 meV/atom

=====

! AlFe2Cl | Alexandria | PBE | optimized geometry; values from VASP
&SYSTEM
  ibrav = 0, nat = 4, ntyp = 3
/
ATOMIC_SPECIES
Al 26.98 Al.upf
Fe 55.84 Fe.upf
Cl 35.45 Cl.upf
CELL_PARAMETERS angstrom
2.630 -3.968 0.000
2.630 3.968 0.000
0.000 0.000 2.811
ATOMIC_POSITIONS angstrom
Al 0.000 0.000 0.000
Fe 1.315 1.984 1.405
Fe 1.315 -1.984 1.405
Cl 2.630 0.000 0.000
! Fermi-level density of states   0.910 states/eV per atom
! Space group   Cmmm, No. 65
! Crystal system   orthorhombic
! Spin magnetization   5.66 μB/f.u.
! Calculated total energy   -5.2608 eV/atom
! Excess energy over the best structure of this formula in the dataset   364.8 meV/atom

=====

! Al2FeCl | Alexandria | PBE | optimized geometry; values from VASP
&SYSTEM
  ibrav = 0, nat = 4, ntyp = 3
/
ATOMIC_SPECIES
Al 26.98 Al.upf
Fe 55.84 Fe.upf
Cl 35.45 Cl.upf
CELL_PARAMETERS angstrom
1.540 -2.508 0.000
1.540 2.508 0.000
0.000 0.000 9.378
ATOMIC_POSITIONS angstrom
Al 0.000 0.000 0.000
Al 1.540 0.000 2.355
Fe 1.540 0.000 7.344
Cl 0.000 0.000 5.611
! Fermi-level density of states   0.448 states/eV per atom
! Space group   Cmm2, No. 35
! Crystal system   orthorhombic
! Spin magnetization   3.02 μB/f.u.
! Calculated total energy   -4.3696 eV/atom
! Excess energy over the best structure of this formula in the dataset   307.3 meV/atom

=====

! AlFeCl4 | Alexandria | PBE | optimized geometry; values from VASP
&SYSTEM
  ibrav = 0, nat = 6, ntyp = 3
/
ATOMIC_SPECIES
Al 26.98 Al.upf
Fe 55.84 Fe.upf
Cl 35.45 Cl.upf
CELL_PARAMETERS angstrom
0.000 4.177 4.177
4.177 0.000 4.177
4.177 4.177 0.000
ATOMIC_POSITIONS angstrom
Al 0.000 0.000 0.000
Fe 2.088 2.088 2.088
Cl 5.215 3.139 3.139
Cl 3.139 5.215 3.139
Cl 3.139 3.139 5.215
Cl 5.215 5.215 5.215
! Fermi-level density of states   1.870 states/eV per atom
! Space group   F-43m, No. 216
! Crystal system   cubic
! Spin magnetization   5.18 μB/f.u.
! Calculated total energy   -2.4642 eV/atom